No. 1
# Tb2GdSn2Pb5

Crystalline Tb2GdSn2Pb5 at its relaxed geometry (GGA-PBE, the Open Quantum Materials Database).

For the energy above the lowest structure with this stoichiometry, the calculation gives 9 meV/atom. Its symmetry is Cmmm, No. 65.

Unit cell a=13.0967 b=13.0967 c=4.6519 alpha=90.00 beta=90.00 gamma=159.24
Fractional positions:
Tb  0.1875  0.8125  0.0000
Tb  0.8125  0.1875  0.0000
Gd  0.0000  0.0000  0.0000
Sn  0.0978  0.9022  0.5000
Sn  0.9022  0.0978  0.5000
Pb  0.2937  0.7063  0.5000
Pb  0.4029  0.5971  0.0000
Pb  0.5000  0.5000  0.5000
Pb  0.5971  0.4029  0.0000
Pb  0.7063  0.2937  0.5000

=====

No. 2
# CoH2

Crystalline CoH2 at its relaxed geometry (GGA-PBE, the Open Quantum Materials Database).

As for the electronic total energy: -3.8984 eV per atom. Its symmetry is Fd-3m, No. 227.

Unit cell a=3.6234 b=3.6234 c=3.6234 alpha=60.00 beta=60.00 gamma=60.00
Fractional positions:
Co  0.1250  0.1250  0.1250
Co  0.8750  0.8750  0.8750
H  0.0000  0.5000  0.5000
H  0.5000  0.0000  0.5000
H  0.5000  0.5000  0.0000
H  0.5000  0.5000  0.5000